# 1
{"formula": "InSbPb2", "functional": "PBE", "state": "optimized geometry", "spacegroup": "No. 12", "e_form_raw_ev_per_atom": 0.059, "energy_ev_per_atom": -3.510, "magnetic_moment_mub_per_cell": 0.00, "volume_a3_per_fu": 120.2, "lattice_angstrom": [[-3.293, -3.985, 2.834], [-4.125, -4.196, -0.379], [4.022, -4.980, -0.714]], "species": ["Pb", "Pb", "Sb", "In"], "fractional_positions": [[0.501, 0.501, 0.505], [0.999, 0.999, 0.995], [0.750, 0.750, 0.750], [0.250, 0.250, 0.250]]}

---

# 2
{"formula": "In2SbPb", "functional": "PBE", "state": "optimized geometry", "spacegroup": "No. 12", "e_form_raw_ev_per_atom": 0.048, "energy_ev_per_atom": -3.279, "magnetic_moment_mub_per_cell": 0.00, "volume_a3_per_fu": 114.5, "lattice_angstrom": [[6.152, 0.107, 0.062], [-2.503, 5.621, 0.062], [0.330, 0.518, 3.296]], "species": ["Sb", "In", "In", "Pb"], "fractional_positions": [[0.000, 0.500, 0.500], [0.000, 0.000, 0.000], [0.500, 0.500, 0.000], [0.500, 0.000, 0.500]]}

---

# 3
{"formula": "In2SbPb", "functional": "PBE", "state": "optimized geometry", "spacegroup": "No. 123", "e_form_raw_ev_per_atom": 0.039, "energy_ev_per_atom": -3.288, "magnetic_moment_mub_per_cell": 0.00, "volume_a3_per_fu": 116.1, "lattice_angstrom": [[4.811, 0.000, 0.000], [0.000, 4.810, 0.000], [0.000, 0.000, 5.017]], "species": ["Pb", "In", "In", "Sb"], "fractional_positions": [[0.500, 0.000, 0.500], [0.500, 0.500, 0.000], [0.000, 0.000, 0.000], [0.000, 0.500, 0.500]]}

---

# 4
{"formula": "In2SbPb", "functional": "PBE", "state": "optimized geometry", "spacegroup": "No. 160", "e_form_raw_ev_per_atom": 0.075, "energy_ev_per_atom": -3.252, "magnetic_moment_mub_per_cell": 0.00, "volume_a3_per_fu": 125.4, "lattice_angstrom": [[4.502, 0.000, 0.000], [2.251, 3.899, 0.000], [2.251, 1.300, 7.145]], "species": ["In", "In", "Sb", "Pb"], "fractional_positions": [[0.257, 0.257, 0.230], [0.076, 0.076, 0.771], [0.667, 0.667, 0.998], [0.500, 0.500, 0.500]]}

---

# 5
{"formula": "InSbPb2", "functional": "PBE", "state": "optimized geometry", "spacegroup": "No. 160", "e_form_raw_ev_per_atom": 0.098, "energy_ev_per_atom": -3.471, "magnetic_moment_mub_per_cell": 0.00, "volume_a3_per_fu": 131.6, "lattice_angstrom": [[4.441, 0.000, 0.000], [2.220, 3.846, 0.000], [2.220, 1.282, 7.705]], "species": ["Sb", "Pb", "Pb", "In"], "fractional_positions": [[0.667, 0.667, 0.999], [0.253, 0.253, 0.240], [0.080, 0.080, 0.761], [0.500, 0.500, 0.500]]}

---

# 6
{"formula": "InSbPb2", "functional": "PBE", "state": "optimized geometry", "spacegroup": "No. 65", "e_form_raw_ev_per_atom": 0.082, "energy_ev_per_atom": -3.488, "magnetic_moment_mub_per_cell": 0.00, "volume_a3_per_fu": 117.8, "lattice_angstrom": [[3.347, -0.074, 0.000], [-1.171, 3.137, 0.000], [0.000, 0.000, 11.315]], "species": ["Sb", "Pb", "Pb", "In"], "fractional_positions": [[0.500, 0.500, 0.250], [0.000, 0.000, 0.497], [0.000, 0.000, 0.003], [0.500, 0.500, 0.750]]}